(1)
A plane-wave DFT calculation with PBE-GGA was carried out for an optimized crystal structure of NdNiIr3.

Calculated values
- N(E_F): 0.95 states/eV per atom
- ΔE_f: 0.35 eV per atom

Cell: 4.7105 6.8924 6.8924 Å, 118.29 90.00 90.00°
Closest atoms and distances in Å follow each position.
Positions (direct):
Nd1 0.7500 0.5957 0.4043  1 Ni 2.62, 2 Ir 2.73
Nd2 0.2500 0.4043 0.5957  1 Ni 2.62, 2 Ir 2.73
Ni1 0.7500 0.8171 0.1829  8 Ir 2.46-2.71, 1 Nd 2.62
Ni2 0.2500 0.1829 0.8171  8 Ir 2.46-2.71, 1 Nd 2.62
Ir1 0.7500 0.3985 0.9551  3 Ir 2.50-2.66, 3 Ni 2.55-2.71, 1 Nd 2.73
Ir2 0.7500 0.0449 0.6015  3 Ir 2.50-2.66, 3 Ni 2.55-2.71, 1 Nd 2.73
Ir3 0.2500 0.9551 0.3985  3 Ir 2.50-2.66, 3 Ni 2.55-2.71, 1 Nd 2.73
Ir4 0.2500 0.6015 0.0449  3 Ir 2.50-2.66, 3 Ni 2.55-2.71, 1 Nd 2.73
Ir5 0.0000 0.0000 0.0000  2 Ir 2.36, 2 Ni 2.46
Ir6 0.5000 0.0000 0.0000  2 Ir 2.36, 2 Ni 2.46

=====

(2)
A plane-wave DFT calculation with PBE-GGA was carried out for an optimized crystal structure of Nd8Ni2Ir.

Calculated values
- N(E_F): 1.04 states/eV per atom
- ΔE_f: -0.22 eV per atom
- Energy relative to the lowest polymorph listed for this composition: 0.000 eV/atom

Cell: 5.1619 6.7737 9.2525 Å, 100.89 106.20 90.00°
Closest atoms and distances in Å follow each position.
Positions (direct):
Nd1 0.4131 0.5669 0.8262  1 Ir 3.03, 1 Nd 3.39
Nd2 0.6698 0.9700 0.3396  1 Ni 2.76, 1 Ir 3.06
Nd3 0.7996 0.6603 0.5992  1 Ni 2.73
Nd4 0.9600 0.2107 0.9199  1 Ni 2.87, 2 Ir 3.10
Nd5 0.2004 0.3397 0.4008  1 Ni 2.73
Nd6 0.3302 0.0300 0.6604  1 Ni 2.76, 1 Ir 3.06
Nd7 0.5869 0.4331 0.1738  1 Ir 3.03, 1 Nd 3.39
Nd8 0.0400 0.7893 0.0801  1 Ni 2.87, 2 Ir 3.10
Ni1 0.8030 0.2595 0.6060  3 Nd 2.73-2.87
Ni2 0.1970 0.7405 0.3940  3 Nd 2.73-2.87
Ir1 0.5000 0.0000 0.0000  8 Nd 3.03-3.10